[1]
The following is a GGA-PBE calculation of crystalline DyEr2Tl at its relaxed geometry, from Alexandria.

* ΔE_f: 0.00 eV per atom
* space-group type: Fm-3m (225)
* total energy: -4.027 eV per atom
* offset from the most stable computed form: 177 meV/atom

Unit cell a=5.4307 b=5.4307 c=5.4307 alpha=60.00 beta=60.00 gamma=60.00
Sites, in units of the cell vectors:
Dy (0.5000, 0.5000, 0.5000)
Er (0.7500, 0.7500, 0.7500)
Tl (0.0000, 0.0000, 0.0000)
Er (0.2500, 0.2500, 0.2500)

[2]
The following is a GGA-PBE calculation of crystalline DyEr2Tl at its relaxed geometry, from Alexandria.

* ΔE_f: -0.18 eV per atom
* space-group type: P2_1/m (11)
* total energy: -4.205 eV per atom
* offset from the most stable computed form: 0 meV/atom

Unit cell a=5.3145 b=6.6578 c=6.6690 alpha=79.65 beta=90.00 gamma=90.00
Sites, in units of the cell vectors:
Tl (0.2500, 0.1133, 0.2617)
Dy (0.2500, 0.6609, 0.5737)
Er (0.7500, 0.8652, 0.2219)
Er (0.2500, 0.1348, 0.7781)
Dy (0.7500, 0.3391, 0.4263)
Er (0.2500, 0.5825, 0.0927)
Er (0.7500, 0.4175, 0.9073)
Tl (0.7500, 0.8867, 0.7383)

[3]
The following is a GGA-PBE calculation of crystalline Dy2ErTl at its relaxed geometry, from Alexandria.

* ΔE_f: -0.11 eV per atom
* space-group type: R-3m (166)
* total energy: -4.139 eV per atom
* offset from the most stable computed form: 70 meV/atom

Unit cell a=3.5464 b=3.5464 c=11.2191 alpha=80.91 beta=80.91 gamma=60.00
Sites, in units of the cell vectors:
Dy (0.2529, 0.2529, 0.2414)
Tl (0.0000, 0.0000, 0.0000)
Dy (0.7471, 0.7471, 0.7586)
Er (0.5000, 0.5000, 0.5000)

[4]
The following is a GGA-PBE calculation of crystalline Dy4Er9Tl11 at its relaxed geometry, from Alexandria.

* ΔE_f: -0.24 eV per atom
* space-group type: Cmmm (65)
* total energy: -3.808 eV per atom

Unit cell a=3.5589 b=13.9875 c=13.9875 alpha=109.75 beta=90.00 gamma=90.00
Sites, in units of the cell vectors:
Tl (0.0000, 0.8133, 0.1867)
Tl (0.0000, 0.0000, 0.0000)
Tl (0.0000, 0.5902, 0.9501)
Tl (0.0000, 0.1867, 0.8133)
Tl (0.0000, 0.2114, 0.2114)
Dy (0.5000, 0.5859, 0.7483)
Tl (0.0000, 0.7886, 0.7886)
Er (0.5000, 0.0153, 0.2033)
Er (0.5000, 0.6139, 0.1593)
Tl (0.0000, 0.0499, 0.4098)
Er (0.5000, 0.9847, 0.7967)
Tl (0.0000, 0.6233, 0.3767)
Er (0.5000, 0.8407, 0.3861)
Tl (0.0000, 0.9501, 0.5902)
Tl (0.0000, 0.3767, 0.6233)
Er (0.5000, 0.3861, 0.8407)
Er (0.5000, 0.1593, 0.6139)
Dy (0.5000, 0.2517, 0.4141)
Dy (0.5000, 0.4141, 0.2517)
Tl (0.0000, 0.4098, 0.0499)
Er (0.5000, 0.7967, 0.9847)
Dy (0.5000, 0.7483, 0.5859)
Er (0.5000, 0.5000, 0.5000)
Er (0.5000, 0.2033, 0.0153)

[5]
The following is a GGA-PBE calculation of crystalline DyEr2Tl2 at its relaxed geometry, from Alexandria.

* ΔE_f: -0.27 eV per atom
* space-group type: P2_1/m (11)
* total energy: -3.961 eV per atom

Unit cell a=3.7471 b=5.3573 c=14.0274 alpha=90.00 beta=97.70 gamma=90.00
Sites, in units of the cell vectors:
Tl (0.5490, 0.2500, 0.0970)
Dy (0.1486, 0.2500, 0.2994)
Tl (0.6441, 0.7500, 0.2901)
Er (0.9507, 0.2500, 0.9012)
Er (0.2383, 0.7500, 0.4761)
Er (0.7617, 0.2500, 0.5239)
Dy (0.8514, 0.7500, 0.7006)
Tl (0.3559, 0.2500, 0.7099)
Er (0.0493, 0.7500, 0.0988)
Tl (0.4510, 0.7500, 0.9030)

[6]
The following is a GGA-PBE calculation of crystalline Dy2ErTl at its relaxed geometry, from Alexandria.

* ΔE_f: -0.16 eV per atom
* space-group type: Cmcm (63)
* total energy: -4.192 eV per atom
* offset from the most stable computed form: 17 meV/atom

Unit cell a=3.6285 b=6.6433 c=10.2172 alpha=90.00 beta=90.00 gamma=105.84
Sites, in units of the cell vectors:
Dy (0.6293, 0.2598, 0.4671)
Dy (0.3707, 0.7402, 0.5329)
Dy (0.6293, 0.2598, 0.0329)
Er (0.0396, 0.0792, 0.7500)
Dy (0.3707, 0.7402, 0.9671)
Tl (0.7536, 0.5067, 0.7500)
Er (0.9604, 0.9208, 0.2500)
Tl (0.2464, 0.4933, 0.2500)

[7]
The following is a GGA-PBE calculation of crystalline Dy7ErTl4 at its relaxed geometry, from Alexandria.

* ΔE_f: -0.01 eV per atom
* space-group type: C2/m (12)
* total energy: -3.865 eV per atom

Unit cell a=5.7794 b=9.1172 c=8.0032 alpha=69.25 beta=68.83 gamma=71.52
Sites, in units of the cell vectors:
Tl (0.6853, 0.6624, 0.9669)
Dy (0.5000, 0.0000, 0.0000)
Dy (0.7957, 0.8796, 0.5289)
Dy (0.9321, 0.4061, 0.7297)
Dy (0.2572, 0.6954, 0.7901)
Er (0.0000, 0.0000, 0.0000)
Tl (0.3147, 0.3376, 0.0331)
Tl (0.4519, 0.7117, 0.3844)
Dy (0.7428, 0.3046, 0.2099)
Dy (0.0679, 0.5939, 0.2703)
Tl (0.5481, 0.2883, 0.6156)
Dy (0.2043, 0.1204, 0.4711)

[8]
The following is a GGA-PBE calculation of crystalline Dy4Er3Tl4 at its relaxed geometry, from Alexandria.

* ΔE_f: -0.21 eV per atom
* space-group type: Immm (71)
* total energy: -3.993 eV per atom

Unit cell a=3.6428 b=9.4242 c=10.6410 alpha=116.28 beta=99.86 gamma=90.00
Sites, in units of the cell vectors:
Er (0.0965, 0.0965, 0.1930)
Dy (0.6618, 0.4757, 0.3236)
Dy (0.3382, 0.1520, 0.6764)
Dy (0.3382, 0.5243, 0.6764)
Er (0.9035, 0.9035, 0.8070)
Tl (0.7303, 0.2303, 0.4607)
Tl (0.5000, 0.2193, 0.0000)
Tl (0.2697, 0.7697, 0.5393)
Tl (0.5000, 0.7807, 0.0000)
Dy (0.6618, 0.8480, 0.3236)
Er (0.0000, 0.5000, 0.0000)

[9]
The following is a GGA-PBE calculation of crystalline Dy3ErTl4 at its relaxed geometry, from Alexandria.

* ΔE_f: -0.21 eV per atom
* space-group type: Pmn2_1 (31)
* total energy: -3.689 eV per atom
* offset from the most stable computed form: 127 meV/atom

Unit cell a=6.5277 b=6.4940 c=10.6436 alpha=90.00 beta=90.00 gamma=90.00
Sites, in units of the cell vectors:
Tl (0.2536, 0.9857, 0.0000)
Dy (0.0642, 0.7476, 0.7490)
Tl (0.5639, 0.7524, 0.2517)
Er (0.8849, 0.4493, 0.0000)
Tl (0.3754, 0.4875, 0.0000)
Dy (0.0642, 0.7476, 0.2510)
Tl (0.0639, 0.2476, 0.7517)
Er (0.3849, 0.5507, 0.5000)
Tl (0.0639, 0.2476, 0.2483)
Dy (0.5642, 0.2524, 0.7510)
Dy (0.5642, 0.2524, 0.2490)
Tl (0.8754, 0.5125, 0.5000)
Tl (0.7536, 0.0143, 0.5000)
Dy (0.7452, 0.9479, 0.0000)
Tl (0.5639, 0.7524, 0.7483)
Dy (0.2452, 0.0521, 0.5000)

[10]
The following is a GGA-PBE calculation of crystalline Dy2ErTl at its relaxed geometry, from Alexandria.

* ΔE_f: -0.11 eV per atom
* space-group type: R3m (160)
* total energy: -4.145 eV per atom
* offset from the most stable computed form: 63 meV/atom

Unit cell a=3.5896 b=3.5896 c=11.0462 alpha=80.65 beta=80.65 gamma=60.00
Sites, in units of the cell vectors:
Tl (0.6666, 0.6666, 0.0004)
Dy (0.2535, 0.2535, 0.2396)
Dy (0.0799, 0.0799, 0.7600)
Er (0.5000, 0.5000, 0.5000)

[11]
The following is a GGA-PBE calculation of crystalline Dy2Er5Tl at its relaxed geometry, from Alexandria.

* ΔE_f: -0.05 eV per atom
* space-group type: Cmmm (65)
* total energy: -4.353 eV per atom
* offset from the most stable computed form: 0 meV/atom

Unit cell a=3.4997 b=9.5150 c=9.2754 alpha=120.86 beta=112.13 gamma=90.00
Sites, in units of the cell vectors:
Er (0.2542, 0.1107, 0.7540)
Er (0.7458, 0.8893, 0.2460)
Er (0.2542, 0.6433, 0.7540)
Er (0.0000, 0.5000, 0.0000)
Dy (0.5379, 0.2690, 0.5380)
Dy (0.4621, 0.7310, 0.4620)
Tl (0.0000, 0.0000, 0.0000)
Er (0.7458, 0.3567, 0.2460)

[12]
The following is a GGA-PBE calculation of crystalline Dy3Er4Tl at its relaxed geometry, from Alexandria.

* ΔE_f: -0.07 eV per atom
* space-group type: Pmn2_1 (31)
* total energy: -4.376 eV per atom

Unit cell a=6.1364 b=6.9773 c=11.1345 alpha=90.00 beta=90.00 gamma=90.00
Sites, in units of the cell vectors:
Dy (0.9728, 0.6162, 0.2405)
Er (0.4908, 0.8753, 0.2598)
Er (0.1403, 0.8706, 0.5000)
Dy (0.6313, 0.6303, 0.0000)
Dy (0.4728, 0.3838, 0.2595)
Er (0.6403, 0.1294, 0.0000)
Er (0.6653, 0.1244, 0.5000)
Dy (0.4728, 0.3838, 0.7405)
Dy (0.9728, 0.6162, 0.7595)
Er (0.9908, 0.1247, 0.2402)
Er (0.1653, 0.8756, 0.0000)
Tl (0.1511, 0.3728, 0.0000)
Er (0.4908, 0.8753, 0.7402)
Er (0.9908, 0.1247, 0.7598)
Tl (0.6511, 0.6272, 0.5000)
Dy (0.1313, 0.3697, 0.5000)

[13]
The following is a GGA-PBE calculation of crystalline DyEr2Tl at its relaxed geometry, from Alexandria.

* ΔE_f: -0.11 eV per atom
* space-group type: R-3m (166)
* total energy: -4.133 eV per atom
* offset from the most stable computed form: 72 meV/atom

Unit cell a=3.5333 b=3.5333 c=11.1619 alpha=80.89 beta=80.89 gamma=60.00
Sites, in units of the cell vectors:
Er (0.7466, 0.7466, 0.7600)
Er (0.2534, 0.2534, 0.2399)
Tl (0.0000, 0.0000, 0.0000)
Dy (0.5000, 0.5000, 0.5000)

[14]
The following is a GGA-PBE calculation of crystalline DyEr6Tl6 at its relaxed geometry, from Alexandria.

* ΔE_f: -0.15 eV per atom
* space-group type: P6/mmm (191)
* total energy: -3.705 eV per atom

Unit cell a=6.3928 b=6.3928 c=10.4713 alpha=90.00 beta=90.00 gamma=120.01
Sites, in units of the cell vectors:
Er (0.3334, 0.6666, 0.5000)
Er (0.6666, 0.3334, 0.5000)
Tl (0.5000, 0.0000, 0.2461)
Tl (0.5000, 0.0000, 0.7539)
Er (0.6667, 0.3333, 0.0000)
Tl (0.5000, 0.5000, 0.7540)
Er (0.0000, 0.0000, 0.6623)
Tl (0.0000, 0.5000, 0.7539)
Er (0.0000, 0.0000, 0.3377)
Tl (0.0000, 0.5000, 0.2461)
Tl (0.5000, 0.5000, 0.2460)
Er (0.3333, 0.6667, 0.0000)
Dy (0.0000, 0.0000, 0.0000)

[15]
The following is a GGA-PBE calculation of crystalline Dy2Er3Tl6 at its relaxed geometry, from Alexandria.

* ΔE_f: 0.00 eV per atom
* space-group type: I4/mmm (139)
* total energy: -3.372 eV per atom

Unit cell a=4.6843 b=4.6843 c=15.3271 alpha=98.79 beta=98.79 gamma=90.00
Sites, in units of the cell vectors:
Er (0.2012, 0.2012, 0.4023)
Er (0.0000, 0.0000, 0.0000)
Er (0.7988, 0.7988, 0.5977)
Tl (0.6206, 0.1206, 0.2412)
Tl (0.3794, 0.8794, 0.7588)
Dy (0.5530, 0.5530, 0.1060)
Tl (0.1206, 0.6206, 0.2412)
Dy (0.4470, 0.4470, 0.8940)
Tl (0.3028, 0.3028, 0.6056)
Tl (0.8794, 0.3794, 0.7588)
Tl (0.6972, 0.6972, 0.3944)

[16]
The following is a GGA-PBE calculation of crystalline Dy5Er3Tl2 at its relaxed geometry, from Alexandria.

* ΔE_f: 0.16 eV per atom
* space-group type: Ibam (72)
* total energy: -3.979 eV per atom

Unit cell a=6.3902 b=10.5136 c=10.5136 alpha=94.12 beta=72.31 gamma=72.31
Sites, in units of the cell vectors:
Dy (0.0009, 0.7491, 0.7491)
Er (0.1180, 0.1040, 0.6600)
Dy (0.4991, 0.2509, 0.2509)
Tl (0.6296, 0.0148, 0.7261)
Er (0.6180, 0.6600, 0.1040)
Dy (0.2500, 0.5000, 0.5000)
Tl (0.3704, 0.9852, 0.2739)
Dy (0.6147, 0.2194, 0.5512)
Dy (0.8853, 0.4488, 0.7806)
Er (0.8820, 0.8960, 0.3400)
Er (0.2500, 0.0000, 0.0000)
Dy (0.9991, 0.2509, 0.2509)
Er (0.7500, 0.0000, 0.0000)
Dy (0.7500, 0.5000, 0.5000)
Tl (0.1296, 0.7261, 0.0148)
Dy (0.1147, 0.5512, 0.2194)
Er (0.3820, 0.3400, 0.8960)
Dy (0.5009, 0.7491, 0.7491)
Tl (0.8704, 0.2739, 0.9852)
Dy (0.3853, 0.7806, 0.4488)

[17]
The following is a GGA-PBE calculation of crystalline DyEr6Tl2 at its relaxed geometry, from Alexandria.

* ΔE_f: -0.15 eV per atom
* space-group type: C2/m (12)
* total energy: -4.225 eV per atom

Unit cell a=3.7179 b=6.5844 c=11.7280 alpha=74.98 beta=80.88 gamma=73.60
Sites, in units of the cell vectors:
Er (0.6894, 0.2049, 0.4163)
Er (0.3155, 0.4934, 0.8756)
Tl (0.3586, 0.0748, 0.2080)
Er (0.6845, 0.5066, 0.1244)
Er (0.3106, 0.7951, 0.5837)
Dy (0.0000, 0.0000, 0.0000)
Er (0.0136, 0.3185, 0.6543)
Er (0.9864, 0.6815, 0.3457)
Tl (0.6414, 0.9252, 0.7920)

[18]
The following is a GGA-PBE calculation of crystalline Dy3Er4Tl at its relaxed geometry, from Alexandria.

* ΔE_f: -0.07 eV per atom
* space-group type: P4/mmm (123)
* total energy: -4.376 eV per atom

Unit cell a=3.5476 b=3.5476 c=19.1436 alpha=90.00 beta=90.00 gamma=90.00
Sites, in units of the cell vectors:
Er (0.0000, 0.0000, 0.6297)
Dy (0.5000, 0.5000, 0.7601)
Er (0.0000, 0.0000, 0.8889)
Tl (0.5000, 0.5000, 0.0000)
Dy (0.5000, 0.5000, 0.2399)
Er (0.0000, 0.0000, 0.3703)
Er (0.0000, 0.0000, 0.1111)
Dy (0.5000, 0.5000, 0.5000)

[19]
The following is a GGA-PBE calculation of crystalline Dy2Er3Tl4 at its relaxed geometry, from Alexandria.

* ΔE_f: -0.19 eV per atom
* space-group type: Cmce (64)
* total energy: -3.782 eV per atom

Unit cell a=7.1281 b=9.2470 c=8.7400 alpha=90.00 beta=114.07 gamma=90.00
Sites, in units of the cell vectors:
Dy (0.6107, 0.9311, 0.2214)
Tl (0.8093, 0.0394, 0.6187)
Er (0.4607, 0.2500, 0.4215)
Tl (0.2694, 0.2500, 0.0388)
Dy (0.3893, 0.0689, 0.7786)
Tl (0.2306, 0.7500, 0.9612)
Tl (0.3093, 0.4606, 0.6187)
Er (0.0393, 0.7500, 0.5785)
Tl (0.7306, 0.7500, 0.9612)
Er (0.0000, 0.0000, 0.0000)
Tl (0.6907, 0.5394, 0.3813)
Dy (0.1107, 0.5689, 0.2214)
Er (0.5393, 0.7500, 0.5785)
Tl (0.1907, 0.9606, 0.3813)
Tl (0.7694, 0.2500, 0.0388)
Dy (0.8893, 0.4311, 0.7786)
Er (0.5000, 0.5000, 0.0000)
Er (0.9607, 0.2500, 0.4215)

[20]
The following is a GGA-PBE calculation of crystalline DyEr4Tl at its relaxed geometry, from Alexandria.

* ΔE_f: -0.10 eV per atom
* space-group type: P4/mmm (123)
* total energy: -4.307 eV per atom
* offset from the most stable computed form: 0 meV/atom

Unit cell a=3.5559 b=3.5559 c=14.0945 alpha=90.00 beta=90.00 gamma=90.00
Sites, in units of the cell vectors:
Er (0.0000, 0.0000, 0.6505)
Er (0.0000, 0.0000, 0.3495)
Tl (0.5000, 0.5000, 0.5000)
Er (0.5000, 0.5000, 0.1759)
Er (0.5000, 0.5000, 0.8241)
Dy (0.0000, 0.0000, 0.0000)

[21]
The following is a GGA-PBE calculation of crystalline Dy3Er7Tl at its relaxed geometry, from Alexandria.

* ΔE_f: 0.15 eV per atom
* space-group type: P3m1 (156)
* total energy: -4.222 eV per atom

Unit cell a=8.4570 b=6.9096 c=6.9096 alpha=120.00 beta=90.00 gamma=90.00
Sites, in units of the cell vectors:
Er (0.1224, 0.1676, 0.8324)
Er (0.1224, 0.6647, 0.8324)
Er (0.4455, 0.8302, 0.1698)
Er (0.4455, 0.3397, 0.1698)
Dy (0.7845, 0.9973, 0.4986)
Dy (0.7845, 0.5014, 0.0027)
Dy (0.7845, 0.5014, 0.4986)
Er (0.1224, 0.1676, 0.3353)
Er (0.1115, 0.6667, 0.3333)
Er (0.4455, 0.8302, 0.6603)
Tl (0.4464, 0.3333, 0.6667)